Here is K2PbW at its PBEsol-relaxed geometry from Alexandria via LeMat-Bulk. Energies are from meta-GGA SCAN.

Structure (extended XYZ):
```
4
Lattice="4.244 0.000 0.000 0.000 4.244 0.000 -2.122 -2.122 5.833" Properties=species:S:1:pos:R:3 pbc="T T T"
K 2.122 0.000 2.916
K 0.000 2.122 2.916
Pb 2.122 2.122 0.000
W 0.000 0.000 0.000
```

Properties
Its total energy is -39.393 eV per atom. The value obtained for the formation energy is 1.14 eV per atom.



Here is K2PbW at its PBEsol-relaxed geometry from Alexandria via LeMat-Bulk. Energies are from meta-GGA SCAN.

Structure (extended XYZ):
```
4
Lattice="3.910 0.000 0.000 0.000 4.500 0.000 0.000 0.000 5.877" Properties=species:S:1:pos:R:3 pbc="T T T"
K 0.000 0.000 0.000
K 1.955 2.250 0.000
Pb 1.955 0.000 2.939
W 0.000 2.250 2.939
```

Properties
Its total energy is -39.385 eV per atom. The value obtained for the formation energy is 1.15 eV per atom.



Here is KPb2W at its PBEsol-relaxed geometry from Alexandria via LeMat-Bulk. Energies are from meta-GGA SCAN.

Structure (extended XYZ):
```
4
Lattice="3.052 0.029 0.039 -1.010 5.703 0.044 -1.010 -1.704 5.442" Properties=species:S:1:pos:R:3 pbc="T T T"
K 0.516 2.014 2.763
Pb -0.505 2.851 0.022
Pb -0.505 -0.852 2.721
W 1.526 0.014 0.020
```

Properties
The calculation puts the offset from the most stable computed form at 435.7 meV per atom. Its total energy is -56.347 eV per atom. The value obtained for the formation energy is 1.05 eV per atom.



Here is KPb2W at its PBEsol-relaxed geometry from Alexandria via LeMat-Bulk. Energies are from meta-GGA SCAN.

Structure (extended XYZ):
```
4
Lattice="3.770 0.000 0.000 0.000 3.770 0.000 0.000 0.000 8.374" Properties=species:S:1:pos:R:3 pbc="T T T"
K 1.885 1.885 6.167
Pb 0.000 0.000 0.421
Pb 1.885 1.885 2.717
W 0.000 0.000 3.256
```

Properties
The calculation puts the offset from the most stable computed form at 252.2 meV per atom. Its total energy is -56.530 eV per atom. The value obtained for the formation energy is 0.86 eV per atom.



Here is KPb2W at its PBEsol-relaxed geometry from Alexandria via LeMat-Bulk. Energies are from meta-GGA SCAN.

Structure (extended XYZ):
```
4
Lattice="3.034 0.000 0.000 0.000 5.724 0.007 0.000 -1.607 5.494" Properties=species:S:1:pos:R:3 pbc="T T T"
K 1.517 2.058 2.750
Pb 0.000 2.862 0.003
Pb 0.000 -0.803 2.747
W 1.517 0.000 0.000
```

Properties
The calculation puts the offset from the most stable computed form at 442.6 meV per atom. Its total energy is -56.340 eV per atom. The value obtained for the formation energy is 1.05 eV per atom.



Here is KYPb2 at its PBEsol-relaxed geometry from Alexandria via LeMat-Bulk. Energies are from meta-GGA SCAN.

Structure (extended XYZ):
```
4
Lattice="-0.551 -2.809 4.727 3.967 -3.490 1.619 3.177 1.252 4.344" Properties=species:S:1:pos:R:3 pbc="T T T"
K 0.000 0.000 0.000
Pb 1.648 -1.262 2.672
Pb 4.945 -3.786 8.017
Y 3.296 -2.524 5.345
```

Properties
The calculation puts the offset from the most stable computed form at 202.7 meV per atom. Its total energy is -47.306 eV per atom. The value obtained for the formation energy is -0.37 eV per atom.



Here is KYPb2 at its PBEsol-relaxed geometry from Alexandria via LeMat-Bulk. Energies are from meta-GGA SCAN.

Structure (extended XYZ):
```
4
Lattice="4.643 0.000 0.000 0.000 4.643 0.000 -2.321 -2.321 5.534" Properties=species:S:1:pos:R:3 pbc="T T T"
K 0.000 2.321 2.767
Pb 0.000 0.000 0.000
Pb 2.321 0.000 2.767
Y 2.321 2.321 0.000
```

Properties
The calculation puts the offset from the most stable computed form at 342.5 meV per atom. Its total energy is -47.166 eV per atom. The value obtained for the formation energy is -0.23 eV per atom.



Here is KYPb2 at its PBEsol-relaxed geometry from Alexandria via LeMat-Bulk. Energies are from meta-GGA SCAN.

Structure (extended XYZ):
```
4
Lattice="3.565 0.000 0.021 0.000 4.554 0.000 -0.039 0.000 7.747" Properties=species:S:1:pos:R:3 pbc="T T T"
Pb -0.030 0.000 6.190
Pb 3.556 0.000 1.578
Y 1.783 2.277 0.010
K 1.763 2.277 3.884
```

Properties
The calculation puts the offset from the most stable computed form at 0.0 meV per atom. Its total energy is -47.509 eV per atom. The value obtained for the formation energy is -0.58 eV per atom.



Copy entry 4 word for word.
Here is KPb2W at its PBEsol-relaxed geometry from Alexandria via LeMat-Bulk. Energies are from meta-GGA SCAN.

Structure (extended XYZ):
```
4
Lattice="3.770 0.000 0.000 0.000 3.770 0.000 0.000 0.000 8.374" Properties=species:S:1:pos:R:3 pbc="T T T"
K 1.885 1.885 6.167
Pb 0.000 0.000 0.421
Pb 1.885 1.885 2.717
W 0.000 0.000 3.256
```

Properties
The calculation puts the offset from the most stable computed form at 252.2 meV per atom. Its total energy is -56.530 eV per atom. The value obtained for the formation energy is 0.86 eV per atom.